[1]
Compound: Li4Dy3In4
Source: Alexandria via LeMat-Bulk
Functional: PBE-GGA
Structure: optimized geometry

The spin magnetization is 0.0 μB/f.u. The formation energy from the elements comes out at -0.33 eV per atom.

```
data_Li4Dy3In4
_space_group_name_H-M_alt 'P 1'
_space_group_IT_number 1
_cell_length_a 15.603
_cell_length_b 15.603
_cell_length_c 15.603
_cell_angle_alpha 167.42
_cell_angle_beta 161.89
_cell_angle_gamma 22.11
loop_
_space_group_symop_operation_xyz
'x,y,z'
loop_
_atom_site_label
_atom_site_type_symbol
_atom_site_fract_x
_atom_site_fract_y
_atom_site_fract_z
_atom_site_occupancy
Li1 Li 0.092 0.092 0.000 1
Li2 Li 0.261 0.761 0.500 1
Li3 Li 0.739 0.239 0.500 1
Li4 Li 0.908 0.908 0.000 1
Dy1 Dy 0.000 0.500 0.500 1
Dy2 Dy 0.358 0.358 0.000 1
Dy3 Dy 0.642 0.642 0.000 1
In1 In 0.183 0.183 0.000 1
In2 In 0.450 0.950 0.500 1
In3 In 0.550 0.050 0.500 1
In4 In 0.817 0.817 0.000 1
```

[2]
Compound: LiDyIn
Source: Alexandria via LeMat-Bulk
Functional: PBE-GGA
Structure: optimized geometry

The spin magnetization is 0.2 μB/f.u. The formation energy from the elements comes out at -0.19 eV per atom.

```
data_LiDyIn
_space_group_name_H-M_alt 'P 1'
_space_group_IT_number 1
_cell_length_a 6.137
_cell_length_b 6.137
_cell_length_c 6.137
_cell_angle_alpha 146.06
_cell_angle_beta 146.06
_cell_angle_gamma 48.76
loop_
_space_group_symop_operation_xyz
'x,y,z'
loop_
_atom_site_label
_atom_site_type_symbol
_atom_site_fract_x
_atom_site_fract_y
_atom_site_fract_z
_atom_site_occupancy
Li1 Li 0.000 0.000 0.000 1
Dy1 Dy 0.306 0.306 0.000 1
In1 In 0.620 0.620 0.000 1
```

[3]
Compound: LiDy4In
Source: Alexandria via LeMat-Bulk
Functional: PBE-GGA
Structure: optimized geometry

The spin magnetization is 0.0 μB/f.u. The formation energy from the elements comes out at 0.22 eV per atom.

```
data_LiDy4In
_space_group_name_H-M_alt 'P 1'
_space_group_IT_number 1
_cell_length_a 5.030
_cell_length_b 5.030
_cell_length_c 7.541
_cell_angle_alpha 90.00
_cell_angle_beta 90.00
_cell_angle_gamma 90.00
loop_
_space_group_symop_operation_xyz
'x,y,z'
loop_
_atom_site_label
_atom_site_type_symbol
_atom_site_fract_x
_atom_site_fract_y
_atom_site_fract_z
_atom_site_occupancy
Li1 Li 0.000 0.000 0.000 1
Dy1 Dy 0.000 0.500 0.247 1
Dy2 Dy 0.000 0.500 0.753 1
Dy3 Dy 0.500 0.000 0.247 1
Dy4 Dy 0.500 0.000 0.753 1
In1 In 0.500 0.500 0.500 1
```

Record order is preserved below.
V: 23.38; 23.92; 31.80 Å³ per atom
Record order is preserved below.
Mass density: 6.29; 6.58; 6.72 g/cm3
Record order is preserved below.
DFT total energy: -3.280; -3.279; -3.625 eV per atom